Density functional theory data (GGA-PBE) for an optimized crystal structure of CaCuTe2.

Results
DOS at the Fermi energy: 0.6 states/eV/f.u.
Raw total energy: -3.788 eV/atom
Uncorrected formation energy: -2.8 eV/f.u.

abc: 7.6215 7.6215 7.6523
angles: 90.00 90.00 90.00
Space group I-42d (No. 122)
One atom of each set of equivalent atoms:
Ca1 0.0000 0.0000 0.0000 [4 per cell]
Cu1 0.0000 0.0000 0.5000 [4 per cell]
Te1 0.1853 0.2500 0.6250 [8 per cell]